Entry 1:
The following is a DFT calculation (GGA-PBE) of a relaxed CrMo3 crystal.

## Properties
Formation energy from the elements, kJ/mol of formula units: 23
Crystal system: trigonal
DOS(E_F), states/eV/cell: 3.246
Magnetic moment, μB per cell: 0.0

a b c (Å): 2.7075 5.1264 5.1264
angles (deg): 116.97 100.14 100.14
With the nearest neighbours (Å) after each atom.
Fractional coordinates of all 4 atoms:
1 Mo 0.5000 0.5000 0.0000  6 Mo 2.68-2.71, 2 Cr 2.68
2 Mo 0.5000 0.0000 0.5000  6 Mo 2.68-2.71, 2 Cr 2.68
3 Mo 0.0000 0.5000 0.5000  2 Cr 2.68, 6 Mo 2.68-2.71
4 Cr 0.0000 0.0000 0.0000  6 Mo 2.68, 2 Cr 2.71

---

Entry 2:
The following is a DFT calculation (GGA-PBE) of a relaxed ErTlHgPb crystal.

## Properties
Formation energy from the elements, kJ/mol of formula units: -55
Energy above the most stable polymorph in this dataset, eV/atom: 0.124
Crystal system: cubic
DOS(E_F), states/eV/cell: 1.859
Magnetic moment, μB per cell: 0.0

a b c (Å): 5.3956 5.3956 5.3956
angles (deg): 60.00 60.00 60.00
With the nearest neighbours (Å) after each atom.
Fractional coordinates of all 4 atoms:
1 Hg 0.7500 0.7500 0.7500  4 Er 3.30, 4 Pb 3.30
2 Tl 0.2500 0.2500 0.2500  4 Pb 3.30, 4 Er 3.30
3 Pb 0.0000 0.0000 0.0000  4 Hg 3.30, 4 Tl 3.30
4 Er 0.5000 0.5000 0.5000  4 Tl 3.30, 4 Hg 3.30

---

Entry 3:
The following is a DFT calculation (GGA-PBE) of a relaxed CaLaN2 crystal.

## Properties
Crystal system: trigonal
DOS(E_F), states/eV/cell: 2.959
Formation energy from raw total energies, eV per atom: -0.7295
Magnetic moment, μB per cell: 1.0

a b c (Å): 3.6322 3.6322 6.4359
angles (deg): 73.61 73.61 60.00
With the nearest neighbours (Å) after each atom.
Fractional coordinates of all 4 atoms:
1 N 0.0822 0.0822 0.7533  3 Ca 2.55, 3 La 2.58
2 N 0.2559 0.2559 0.2323  3 La 2.53, 3 Ca 2.71
3 Ca 0.4949 0.4949 0.5154  6 N 2.55-2.71
4 La 0.6670 0.6670 0.9990  6 N 2.53-2.58

---

> magnetic moment of number 1 (CrMo3)?

0.0 μB per cell

---

Copy entry 2 word for word.
The following is a DFT calculation (GGA-PBE) of a relaxed ErTlHgPb crystal.

## Properties
Formation energy from the elements, kJ/mol of formula units: -55
Energy above the most stable polymorph in this dataset, eV/atom: 0.124
Crystal system: cubic
DOS(E_F), states/eV/cell: 1.859
Magnetic moment, μB per cell: 0.0

a b c (Å): 5.3956 5.3956 5.3956
angles (deg): 60.00 60.00 60.00
With the nearest neighbours (Å) after each atom.
Fractional coordinates of all 4 atoms:
1 Hg 0.7500 0.7500 0.7500  4 Er 3.30, 4 Pb 3.30
2 Tl 0.2500 0.2500 0.2500  4 Pb 3.30, 4 Er 3.30
3 Pb 0.0000 0.0000 0.0000  4 Hg 3.30, 4 Tl 3.30
4 Er 0.5000 0.5000 0.5000  4 Tl 3.30, 4 Hg 3.30

---

> magnetic moment of number 2 (ErTlHgPb)?

0.0 μB per cell

---

Please write out number 1 again, unchanged.
The following is a DFT calculation (GGA-PBE) of a relaxed CrMo3 crystal.

## Properties
Formation energy from the elements, kJ/mol of formula units: 23
Crystal system: trigonal
DOS(E_F), states/eV/cell: 3.246
Magnetic moment, μB per cell: 0.0

a b c (Å): 2.7075 5.1264 5.1264
angles (deg): 116.97 100.14 100.14
With the nearest neighbours (Å) after each atom.
Fractional coordinates of all 4 atoms:
1 Mo 0.5000 0.5000 0.0000  6 Mo 2.68-2.71, 2 Cr 2.68
2 Mo 0.5000 0.0000 0.5000  6 Mo 2.68-2.71, 2 Cr 2.68
3 Mo 0.0000 0.5000 0.5000  2 Cr 2.68, 6 Mo 2.68-2.71
4 Cr 0.0000 0.0000 0.0000  6 Mo 2.68, 2 Cr 2.71